Entry 1:
First-principles (PBE-GGA) data for a geometry-optimized SmUIr2 structure, as listed in the Alexandria database.

Geometry as POSCAR:
```
SmUIr2
1.0
-1.969 -0.360 -2.784
2.728 -1.046 -1.795
-1.373 -6.751 1.845
Sm Ir U
1 2 1
direct
0.500 0.500 0.500 Sm
0.000 0.000 0.218 Ir
0.000 0.000 0.782 Ir
0.500 0.500 0.000 U
```

## Properties
Energy relative to the elements ... -0.552 eV/atom



Entry 2:
First-principles (PBE-GGA) data for a geometry-optimized Dy3Ni8Ag structure, as listed in the Alexandria database.

Geometry as POSCAR:
```
Dy3Ni8Ag
1.0
5.003 0.000 0.000
2.502 4.333 0.000
2.502 1.444 8.195
Dy Ni Ag
3 8 1
direct
0.992 0.992 0.024 Dy
0.377 0.377 0.869 Dy
0.507 0.507 0.480 Dy
0.942 0.436 0.186 Ni
0.937 0.438 0.687 Ni
0.188 0.188 0.437 Ni
0.436 0.436 0.186 Ni
0.438 0.937 0.687 Ni
0.436 0.942 0.186 Ni
0.937 0.937 0.687 Ni
0.688 0.688 0.937 Ni
0.872 0.872 0.385 Ag
```

## Properties
Energy relative to the elements ... -0.390 eV/atom



Entry 3:
First-principles (PBE-GGA) data for a geometry-optimized LiPb structure, as listed in the Alexandria database.

Geometry as POSCAR:
```
LiPb
1.0
7.991 0.000 0.000
0.000 8.528 0.000
0.000 0.000 11.144
Pb Li
16 16
direct
0.250 0.437 0.250 Pb
0.250 0.937 0.750 Pb
0.750 0.563 0.250 Pb
0.000 0.687 0.000 Pb
0.500 0.187 0.000 Pb
0.500 0.813 0.000 Pb
0.750 0.437 0.750 Pb
0.000 0.313 0.000 Pb
0.250 0.063 0.250 Pb
0.000 0.813 0.500 Pb
0.500 0.313 0.500 Pb
0.250 0.563 0.750 Pb
0.000 0.187 0.500 Pb
0.750 0.063 0.750 Pb
0.500 0.687 0.500 Pb
0.750 0.937 0.250 Pb
0.926 0.750 0.750 Li
0.824 0.000 0.000 Li
0.574 0.750 0.750 Li
0.574 0.250 0.250 Li
0.176 0.500 0.500 Li
0.824 0.500 0.500 Li
0.676 0.500 0.000 Li
0.324 0.000 0.500 Li
0.074 0.250 0.750 Li
0.426 0.250 0.750 Li
0.324 0.500 0.000 Li
0.926 0.250 0.250 Li
0.676 0.000 0.500 Li
0.074 0.750 0.250 Li
0.426 0.750 0.250 Li
0.176 0.000 0.000 Li
```

## Properties
Energy relative to the elements ... -0.100 eV/atom



Entry 4:
First-principles (PBE-GGA) data for a geometry-optimized MgSi structure, as listed in the Alexandria database.

Geometry as POSCAR:
```
MgSi
1.0
-3.368 -1.726 2.741
4.400 0.216 1.559
-0.934 4.923 1.952
Si Mg
2 2
direct
0.667 0.333 0.250 Si
0.333 0.667 0.750 Si
0.667 0.333 0.750 Mg
0.333 0.667 0.250 Mg
```

## Properties
Formation energy without anion corrections ... 0.5225 eV per atom



Entry 5:
First-principles (PBE-GGA) data for a geometry-optimized K3Sm2MnTe6 structure, as listed in the Alexandria database.

Geometry as POSCAR:
```
K3Sm2MnTe6
1.0
7.637 -0.019 -0.013
-3.833 6.605 -0.013
-1.282 -2.220 8.220
K Mn Sm Te
3 1 2 6
direct
0.177 0.823 0.500 K
0.823 0.177 0.500 K
0.500 0.500 0.500 K
0.000 0.000 0.000 Mn
0.335 0.665 0.000 Sm
0.665 0.335 0.000 Sm
0.935 0.638 0.803 Te
0.227 0.227 0.800 Te
0.638 0.935 0.803 Te
0.065 0.362 0.197 Te
0.362 0.065 0.197 Te
0.773 0.773 0.200 Te
```

## Properties
Formation energy without anion corrections ... -0.9376 eV per atom



Entry 6:
First-principles (PBE-GGA) data for a geometry-optimized GaCoRu2C structure, as listed in the Alexandria database.

Geometry as POSCAR:
```
GaCoRu2C
1.0
4.048 0.000 0.000
0.000 4.048 0.000
0.000 0.000 3.719
Ga C Ru Co
1 1 2 1
direct
0.500 0.500 0.500 Ga
0.000 0.000 0.000 C
0.500 0.000 0.000 Ru
0.000 0.500 0.000 Ru
0.000 0.000 0.500 Co
```

## Properties
Energy relative to the elements ... -0.016 eV/atom